(1)
Computed, not measured: a geometry-optimized Te2AsCI structure at the PBE level of DFT.

The structure in POSCAR format:
```
Te2AsCI
1.0
-1.7155 -5.1911 0.9016
4.9108 -1.9189 -1.7045
1.9103 0.2716 5.1979
I As Te C
1 1 2 1
Direct
0.0000 0.0000 0.5000
0.0000 0.0000 0.0000
0.0000 0.5000 0.0000
0.5000 0.0000 0.0000
0.5000 0.5000 0.5000
```

Summary:
The space group is No. 123. The total energy comes out at -2.54 eV per atom. The calculation puts the distance to the lowest polymorph of the same formula at 2.94 eV per formula unit. For the total magnetization, the calculation gives 0.765 μB per formula unit. The density comes out at 4.58 g/cm3.

---

(2)
Computed, not measured: a geometry-optimized Cs2Hg2Sb2Pb5 structure at the PBE level of DFT.

The structure in POSCAR format:
```
Cs2Hg2Sb2Pb5
1.0
-3.6114 -3.7765 -1.3201
3.5279 -3.8449 1.3482
-6.0043 3.9366 16.1660
Cs Hg Sb Pb
2 2 2 5
Direct
0.2095 0.2095 0.4191
0.7905 0.7905 0.5809
0.0814 0.0814 0.1628
0.9186 0.9186 0.8372
0.3284 0.3284 0.6567
0.6716 0.6716 0.3433
0.0000 0.0000 0.0000
0.6206 0.1206 0.2412
0.8794 0.3794 0.7588
0.1206 0.6206 0.2412
0.3794 0.8794 0.7588
```

Summary:
The space group is No. 139. The total energy comes out at -2.62 eV per atom. For the total magnetization, the calculation gives 0.445 μB per formula unit. The density comes out at 6.44 g/cm3.

---

(3)
Computed, not measured: a geometry-optimized LiLa2RuN structure at the PBE level of DFT.

The structure in POSCAR format:
```
LiLa2RuN
1.0
5.2681 0.0000 0.0000
0.0000 5.2681 0.0000
0.0000 0.0000 3.8917
Ru N Li La
1 1 1 2
Direct
0.0000 0.0000 0.5000
0.0000 0.0000 0.0000
0.5000 0.5000 0.5000
0.0000 0.5000 0.0000
0.5000 0.0000 0.0000
```

Summary:
The space group is No. 123. The total energy comes out at -6.39 eV per atom. The calculation puts the distance to the lowest polymorph of the same formula at 0.00 eV per formula unit. For the total magnetization, the calculation gives 0.000 μB per formula unit. The density comes out at 6.15 g/cm3.

---

Q: What is the formula in the third record?
A: LiLa2RuN